Below is a relaxed structure of RbPd3C, with properties calculated at the PBEsol level.

Results
- spin magnetization (μB per atom) = 0.00
- ΔH_f (0 K) (eV/atom) = 0.439

Cell: 4.2932 4.2932 4.2932 Å, 90.00 90.00 90.00°
Space group Pm-3m (No. 221)
Inequivalent atoms, fractional coordinates:
Rb  0.0000  0.0000  0.0000 [1 per cell]
Pd  0.0000  0.5000  0.5000 [3 per cell]
C  0.5000  0.5000  0.5000 [1 per cell]



Below is a relaxed structure of SbRhS, with properties calculated at the PBEsol level.

Results
- raw formation energy (eV/atom) = -0.646
- spin magnetization (μB per atom) = 0.00

Cell: 5.9996 5.9996 5.9996 Å, 90.00 90.00 90.00°
Space group P2_13 (No. 198)
Inequivalent atoms, fractional coordinates:
Sb  0.1229  0.3771  0.6229 [4 per cell]
Rh  0.0148  0.9852  0.4852 [4 per cell]
S  0.1186  0.1186  0.1186 [4 per cell]



Below is a relaxed structure of Na2SnS, with properties calculated at the PBEsol level.

Results
- raw formation energy (eV/atom) = -0.353
- spin magnetization (μB per atom) = 0.00

Cell: 8.2190 8.2190 5.8001 Å, 90.00 90.00 90.00°
Space group I-42d (No. 122)
Inequivalent atoms, fractional coordinates:
Na  0.1881  0.7500  0.1250 [8 per cell]
Sn  0.0000  0.0000  0.5000 [4 per cell]
S  0.0000  0.0000  0.0000 [4 per cell]



Below is a relaxed structure of SrLaSe2, with properties calculated at the PBEsol level.

Results
- raw formation energy (eV/atom) = -2.008
- spin magnetization (μB per atom) = 0.00

Cell: 4.2832 4.2832 21.3174 Å, 90.00 90.00 120.00°
Space group R-3m (No. 166, hexagonal axes)
Inequivalent atoms, fractional coordinates:
Sr  0.0000  0.0000  0.0000 [3 per cell]
La  0.0000  0.0000  0.5000 [3 per cell]
Se  0.0000  0.0000  0.2485 [6 per cell]



Below is a relaxed structure of SnRu3N, with properties calculated at the PBEsol level.

Results
- raw formation energy (eV/atom) = 0.051
- spin magnetization (μB per atom) = 0.00

Cell: 4.0415 4.0415 4.0415 Å, 90.00 90.00 90.00°
Space group Pm-3m (No. 221)
Inequivalent atoms, fractional coordinates:
Sn  0.0000  0.0000  0.0000 [1 per cell]
Ru  0.0000  0.5000  0.5000 [3 per cell]
N  0.5000  0.5000  0.5000 [1 per cell]



Below is a relaxed structure of Cu5Pt, with properties calculated at the PBEsol level.

Results
- spin magnetization (μB per atom) = 0.00
- ΔH_f (0 K) (eV/atom) = -0.050

Cell: 9.4371 2.6587 6.0056 Å, 90.00 106.48 90.00°
Space group Cm (No. 8)
Inequivalent atoms, fractional coordinates:
Cu  0.0000  0.0000  0.0000 [2 per cell]
Cu  0.0467  0.0000  0.6099 [2 per cell]
Cu  0.1599  0.5000  0.3444 [2 per cell]
Cu  0.2079  0.5000  0.9261 [2 per cell]
Cu  0.3293  0.0000  0.6756 [2 per cell]
Pt  0.3760  0.0000  0.2662 [2 per cell]



Below is a relaxed structure of Sr2AsPb, with properties calculated at the PBEsol level.

Results
- spin magnetization (μB per atom) = 0.00
- ΔH_f (0 K) (eV/atom) = -0.390

Cell: 4.5967 4.5967 6.4771 Å, 90.00 90.00 90.00°
Space group P4mm (No. 99)
Inequivalent atoms, fractional coordinates:
Sr  0.0000  0.0000  0.0000 [1 per cell]
Sr  0.5000  0.5000  0.4757 [1 per cell]
As  0.0000  0.0000  0.5005 [1 per cell]
Pb  0.5000  0.5000  0.9694 [1 per cell]



Below is a relaxed structure of CsSi3Tc, with properties calculated at the PBEsol level.

Results
- raw formation energy (eV/atom) = 2.954
- spin magnetization (μB per atom) = 0.63

Cell: 5.2265 5.2265 5.2265 Å, 90.00 90.00 90.00°
Space group Pm-3m (No. 221)
Inequivalent atoms, fractional coordinates:
Cs  0.0000  0.0000  0.0000 [1 per cell]
Si  0.0000  0.0000  0.5000 [3 per cell]
Tc  0.5000  0.5000  0.5000 [1 per cell]